No. 1
## GaCuAuO4 (PBE)

Data for a relaxed GaCuAuO4 crystal.

Results
M_tot	0.00	μB per cell
raw formation energy	-0.672	eV/atom

```
data_GaCuAuO4
_chemical_formula_sum 'Ga4 Cu4 Au4 O16'
_symmetry_space_group_name_H-M 'I m m a'
_symmetry_Int_Tables_number 74
_symmetry_space_group_name_Hall '-I 2b 2'
_cell_length_a 6.1310
_cell_length_b 6.4171
_cell_length_c 8.5299
_cell_angle_alpha 90.00
_cell_angle_beta 90.00
_cell_angle_gamma 90.00
loop_
_atom_site_label
_atom_site_fract_x
_atom_site_fract_y
_atom_site_fract_z
_atom_site_occupancy
Ga1 0.2500 0.2500 0.2500 1
Cu1 0.0000 0.2500 0.6256 1
Au1 0.0000 0.0000 0.0000 1
O1 0.0000 0.0349 0.2426 1
O2 0.2498 0.2500 0.0143 1
```

=====

No. 2
## HfZrTcRu (PBE)

Data for a relaxed HfZrTcRu crystal.

Results
M_tot	0.00	μB per cell
formation energy from the elements	-0.5995	eV/atom

```
data_HfZrTcRu
_chemical_formula_sum 'Hf1 Zr1 Tc1 Ru1'
_symmetry_space_group_name_H-M 'P m m m'
_symmetry_Int_Tables_number 47
_cell_length_a 3.2599
_cell_length_b 4.6156
_cell_length_c 4.6314
_cell_angle_alpha 90.00
_cell_angle_beta 90.00
_cell_angle_gamma 90.00
loop_
_symmetry_equiv_pos_as_xyz
'x,y,z'
'-x,-y,-z'
'-x,-y,z'
'x,y,-z'
'x,-y,-z'
'-x,y,z'
'-x,y,-z'
'x,-y,z'
loop_
_atom_site_label
_atom_site_fract_x
_atom_site_fract_y
_atom_site_fract_z
_atom_site_occupancy
Hf1 0.0000 0.0000 0.0000 1
Zr1 0.0000 0.5000 0.5000 1
Tc1 0.5000 0.0000 0.5000 1
Ru1 0.5000 0.5000 0.0000 1
```

=====

No. 3
## TaVZn (PBE)

Data for a relaxed TaVZn crystal.

Results
M_tot	0.53	μB per cell
energy above the lowest structure with this stoichiometry	0	meV per atom
formation energy from the elements	0.2593	eV/atom

```
data_TaVZn
_chemical_formula_sum 'Ta1 V1 Zn1'
_symmetry_space_group_name_H-M 'P -6 m 2'
_symmetry_Int_Tables_number 187
_symmetry_space_group_name_Hall 'P -6 2'
_cell_length_a 4.5067
_cell_length_b 4.5067
_cell_length_c 2.6784
_cell_angle_alpha 90.00
_cell_angle_beta 90.00
_cell_angle_gamma 120.00
loop_
_atom_site_label
_atom_site_fract_x
_atom_site_fract_y
_atom_site_fract_z
_atom_site_occupancy
Ta1 0.0000 0.0000 0.0000 1
V1 0.3333 0.6667 0.0000 1
Zn1 0.6667 0.3333 0.5000 1
```

=====

No. 4
## Be3GaAs (PBE)

Data for a relaxed Be3GaAs crystal.

Results
M_tot	0.00	μB per cell
energy above the lowest structure with this stoichiometry	0	meV per atom
formation energy from the elements	0.8136	eV/atom

```
data_Be3GaAs
_chemical_formula_sum 'Be3 Ga1 As1'
_symmetry_space_group_name_H-M 'P m -3 m'
_symmetry_Int_Tables_number 221
_symmetry_space_group_name_Hall '-P 4 2 3'
_cell_length_a 4.3089
_cell_length_b 4.3089
_cell_length_c 4.3089
_cell_angle_alpha 90.00
_cell_angle_beta 90.00
_cell_angle_gamma 90.00
loop_
_atom_site_label
_atom_site_fract_x
_atom_site_fract_y
_atom_site_fract_z
_atom_site_occupancy
Be1 0.0000 0.0000 0.5000 1
Ga1 0.5000 0.5000 0.5000 1
As1 0.0000 0.0000 0.0000 1
```

=====

No. 5
## DyTm2Lu (PBE)

Data for a relaxed DyTm2Lu crystal.

Results
M_tot	0.00	μB per cell
energy above the lowest structure with this stoichiometry	0	meV per atom
formation energy from the elements	0.0284	eV/atom

```
data_DyTm2Lu
_chemical_formula_sum 'Dy1 Tm2 Lu1'
_symmetry_space_group_name_H-M 'P 4/m m m'
_symmetry_Int_Tables_number 123
_symmetry_space_group_name_Hall '-P 4 2'
_cell_length_a 3.4865
_cell_length_b 3.4865
_cell_length_c 9.8776
_cell_angle_alpha 90.00
_cell_angle_beta 90.00
_cell_angle_gamma 90.00
loop_
_atom_site_label
_atom_site_fract_x
_atom_site_fract_y
_atom_site_fract_z
_atom_site_occupancy
Dy1 0.0000 0.0000 0.0000 1
Tm1 0.5000 0.5000 0.2522 1
Lu1 0.0000 0.0000 0.5000 1
```

=====

No. 6
## ZrSc2Ta (PBE)

Data for a relaxed ZrSc2Ta crystal.

Results
M_tot	0.00	μB per cell
formation energy from the elements	0.1512	eV/atom

```
data_ZrSc2Ta
_chemical_formula_sum 'Zr2 Sc4 Ta2'
_symmetry_space_group_name_H-M 'I -4 m 2'
_symmetry_Int_Tables_number 119
_symmetry_space_group_name_Hall 'I -4 -2'
_cell_length_a 4.4890
_cell_length_b 4.4890
_cell_length_c 8.6205
_cell_angle_alpha 90.00
_cell_angle_beta 90.00
_cell_angle_gamma 90.00
loop_
_atom_site_label
_atom_site_fract_x
_atom_site_fract_y
_atom_site_fract_z
_atom_site_occupancy
Zr1 0.0000 0.0000 0.0000 1
Sc1 0.0000 0.0000 0.5000 1
Sc2 0.0000 0.5000 0.2500 1
Ta1 0.0000 0.5000 0.7500 1
```

=====

No. 7
## V2SiTcRh (PBE)

Data for a relaxed V2SiTcRh crystal.

Results
M_tot	0.00	μB per cell
raw formation energy	1.100	eV/atom

```
data_V2SiTcRh
_chemical_formula_sum 'V2 Si1 Tc1 Rh1'
_symmetry_space_group_name_H-M 'P 4/m m m'
_symmetry_Int_Tables_number 123
_symmetry_space_group_name_Hall '-P 4 2'
_cell_length_a 4.5049
_cell_length_b 4.5049
_cell_length_c 4.3441
_cell_angle_alpha 90.00
_cell_angle_beta 90.00
_cell_angle_gamma 90.00
loop_
_atom_site_label
_atom_site_fract_x
_atom_site_fract_y
_atom_site_fract_z
_atom_site_occupancy
V1 0.0000 0.5000 0.0000 1
Si1 0.0000 0.0000 0.5000 1
Tc1 0.5000 0.5000 0.5000 1
Rh1 0.0000 0.0000 0.0000 1
```

=====

No. 8
## TbDyCdRh (PBE)

Data for a relaxed TbDyCdRh crystal.

Results
M_tot	0.00	μB per cell
energy above the lowest structure with this stoichiometry	83	meV per atom
formation energy from the elements	-0.5269	eV/atom

```
data_TbDyCdRh
_chemical_formula_sum 'Tb4 Dy4 Cd4 Rh4'
_symmetry_space_group_name_H-M 'F -4 3 m'
_symmetry_Int_Tables_number 216
_symmetry_space_group_name_Hall 'F -4 2 3'
_cell_length_a 7.1616
_cell_length_b 7.1616
_cell_length_c 7.1616
_cell_angle_alpha 90.00
_cell_angle_beta 90.00
_cell_angle_gamma 90.00
loop_
_atom_site_label
_atom_site_fract_x
_atom_site_fract_y
_atom_site_fract_z
_atom_site_occupancy
Tb1 0.0000 0.0000 0.0000 1
Dy1 0.0000 0.0000 0.5000 1
Cd1 0.2500 0.2500 0.2500 1
Rh1 0.2500 0.2500 0.7500 1
```